This record from Alexandria describes a relaxed Er8Ge3CSe3 crystal. The functional is PBE-GGA.

Its magnetization is 0.99 μB/f.u. Its raw formation energy is -16.5 eV per formula unit.

It has space group R-3m (No. 166, hexagonal axes), with a = 8.0664 Å, b = 8.0664 Å, c = 19.9304 Å, α = 90.00°, β = 90.00° and γ = 120.00°. The distinct sites, in fractional coordinates, are Er at (0.0000, 0.0000, 0.2466), Er at (0.0341, 0.5170, 0.2374), Ge at (0.0000, 0.5000, 0.5000), C at (0.0000, 0.0000, 0.5000) and Se at (0.0000, 0.5000, 0.0000).